Entry 1:
Entry from Alexandria via LeMat-Bulk: a crystal of BaYIr2 relaxed with PBEsol (meta-GGA SCAN).

Cell: 3.368 3.368 7.749 Å, 90.00 90.00 90.00°
Atoms (fractional coordinates):
Ba  0.500  0.500  0.000
Ir  0.000  0.000  0.291
Ir  0.000  0.000  0.709
Y  0.500  0.500  0.500

polymorph energy (0 for the lowest one) = 0 meV/atom
E_form = -298 meV/atom
space group = P4/mmm

---

Entry 2:
Entry from Alexandria via LeMat-Bulk: a crystal of HfTeAuI2 relaxed with PBEsol (meta-GGA SCAN).

Cell: 5.540 5.493 5.493 Å, 90.00 90.00 90.00°
Atoms (fractional coordinates):
I  0.000  0.000  0.500
I  0.000  0.500  0.000
Hf  0.000  0.000  0.000
Te  0.500  0.000  0.000
Au  0.500  0.500  0.500

space group = P4/mmm
energy = -1.7787 hartree per atom

---

Entry 3:
Entry from Alexandria via LeMat-Bulk: a crystal of NiIr2Os relaxed with PBEsol (meta-GGA SCAN).

Cell: 2.689 3.725 5.278 Å, 90.00 90.00 90.00°
Last column: magnetic moment on the atom in μB.
Atoms (fractional coordinates):
Ni  0.500  0.500  0.000  0.07
Ir  0.000  0.000  0.755  0.01
Ir  0.000  0.000  0.245  0.01
Os  0.500  0.500  0.500  -0.01

polymorph energy (0 for the lowest one) = 0 meV/atom
E_form = -8 meV/atom
space group = Pmmm

---

Entry 4:
Entry from Alexandria via LeMat-Bulk: a crystal of LiZrAg2 relaxed with PBEsol (meta-GGA SCAN).

Cell: 2.869 4.990 5.881 Å, 115.11 104.12 90.00°
Atoms (fractional coordinates):
Ag  0.013  0.013  0.026
Ag  0.743  0.243  0.485
Li  0.477  0.477  0.954
Zr  0.267  0.767  0.535

E_form = 27 meV/atom
space group = Imm2

---

Entry 5:
Entry from Alexandria via LeMat-Bulk: a crystal of Sr2TcPt relaxed with PBEsol (meta-GGA SCAN).

Cell: 3.392 3.392 9.536 Å, 79.75 79.75 60.00°
Last column: magnetic moment on the atom in μB.
Atoms (fractional coordinates):
Pt  0.000  0.000  0.000  -0.05
Sr  0.252  0.252  0.243  -0.03
Sr  0.748  0.748  0.757  -0.03
Tc  0.500  0.500  0.500  1.45

polymorph energy (0 for the lowest one) = 804 meV/atom
E_form = 621 meV/atom
space group = R-3m

---

Entry 6:
Entry from Alexandria via LeMat-Bulk: a crystal of TaReAu2 relaxed with PBEsol (meta-GGA SCAN).

Cell: 2.763 2.763 8.460 Å, 90.00 90.00 90.00°
Atoms (fractional coordinates):
Au  0.000  0.000  0.754
Au  0.000  0.000  0.246
Re  0.500  0.500  0.000
Ta  0.500  0.500  0.500

polymorph energy (0 for the lowest one) = 182 meV/atom
E_form = 261 meV/atom
space group = P4/mmm

---

Entry 7:
Entry from Alexandria via LeMat-Bulk: a crystal of K2MoSeO6 relaxed with PBEsol (meta-GGA SCAN).

Cell: 6.058 7.535 15.255 Å, 90.00 90.00 111.68°
Atoms (fractional coordinates):
K  0.107  0.316  0.946
K  0.639  0.387  0.802
K  0.893  0.684  0.054
K  0.107  0.816  0.554
K  0.361  0.613  0.198
K  0.361  0.113  0.302
K  0.893  0.184  0.446
K  0.639  0.887  0.698
Mo  0.531  0.182  0.063
Mo  0.469  0.318  0.563
Mo  0.469  0.818  0.937
Mo  0.531  0.682  0.437
Se  0.904  0.124  0.173
Se  0.904  0.624  0.327
Se  0.096  0.876  0.827
Se  0.096  0.376  0.673
O  0.048  0.274  0.772
O  0.618  0.348  0.978
O  0.604  0.715  0.863
O  0.406  0.493  0.664
O  0.406  0.993  0.836
O  0.286  0.488  0.482
O  0.048  0.774  0.728
O  0.714  0.012  0.982
O  0.382  0.152  0.478
O  0.890  0.807  0.396
O  0.110  0.193  0.604
O  0.286  0.988  0.018
O  0.714  0.512  0.518
O  0.618  0.848  0.522
O  0.952  0.726  0.228
O  0.890  0.307  0.104
O  0.396  0.785  0.363
O  0.604  0.215  0.637
O  0.382  0.652  0.022
O  0.952  0.226  0.272
O  0.396  0.285  0.137
O  0.594  0.007  0.164
O  0.110  0.693  0.896
O  0.594  0.507  0.336

space group = P2_1/c
energy = -0.4698 hartree per atom

---

Entry 8:
Entry from Alexandria via LeMat-Bulk: a crystal of SiRu2 relaxed with PBEsol (meta-GGA SCAN).

Cell: 3.991 5.227 7.381 Å, 90.00 90.00 90.00°
Atoms (fractional coordinates):
Ru  0.750  0.484  0.214
Ru  0.250  0.016  0.714
Ru  0.750  0.984  0.286
Ru  0.250  0.516  0.786
Ru  0.750  0.332  0.564
Ru  0.250  0.168  0.064
Ru  0.750  0.832  0.936
Ru  0.250  0.668  0.436
Si  0.750  0.802  0.599
Si  0.250  0.698  0.099
Si  0.750  0.302  0.901
Si  0.250  0.198  0.401

space group = Pnma
energy = -0.9925 hartree per atom

---

no.,density of states at the Fermi level (states/eV per atom),total magnetization (Bohr magnetons per cell)
1,0.398,0.00
2,0.651,0.00
3,0.915,0.07
4,0.503,0.00
5,0.628,1.33
6,0.778,0.00
7,0.000,0.00
8,0.698,0.00